An optimized crystal structure of MgPtW, computed with GGA-PBE.

## Properties
calculated density	12.02	g/cm³
D(E_F)	5.10	states/eV/f.u.
formation enthalpy at 0 K	1.09	eV per atom
E above lowest polymorph	1.372	eV/atom

Cell: 6.0627 6.0627 6.0627 Å, 90.00 90.00 90.00°
With the nearest neighbours (Å) after each atom.
Space group F-43m (No. 216)
Symmetry-distinct sites (fractional):
Mg: 0.0000 0.0000 0.0000 x4  4 W 2.63, 4 Pt 2.63
Pt: 0.2500 0.2500 0.2500 x4  4 Mg 2.63
W: 0.2500 0.2500 0.7500 x4  4 Mg 2.63